Record 1
## TbPm4Hg3 (PBE-GGA)

Data for a geometry-optimized TbPm4Hg3 structure.

The structure belongs to space group Pmma (No. 51); the cell edges are 11.0815, 7.1430 and 5.7249 Å and the angles 90.00°, 90.00° and 90.00°. The distinct sites, in fractional coordinates, are Tb at (0.0000, 0.0000, 0.0000), Pm at (0.0000, 0.2565, 0.5000), Pm at (0.2500, 0.2604, 0.0996), Hg at (0.0000, 0.5000, 0.0000), Hg at (0.2500, 0.0000, 0.6219) and Hg at (0.2500, 0.5000, 0.6057).

Record 2
## TbPm2Hg4 (PBE-GGA)

Data for a geometry-optimized TbPm2Hg4 structure.

The structure belongs to space group I4/mmm (No. 139); the cell edges are 5.6499, 5.6499 and 15.6112 Å and the angles 90.00°, 90.00° and 90.00°. The distinct sites, in fractional coordinates, are Tb at (0.0000, 0.0000, 0.0000), Pm at (0.0000, 0.0000, 0.3951), Hg at (0.0000, 0.0000, 0.1946) and Hg at (0.0000, 0.5000, 0.0000).

Across the entries above, E_form takes the values -0.279 -0.020 eV/atom, respectively.